Compound: SrGdGa2
Source: Alexandria via LeMat-Bulk
Functional: PBE
Structure: relaxed

Cell lengths 3.8328, 3.8328, 9.4349 Å; angles 78.28, 78.28, 60.00 degrees
With the nearest neighbours (Å) after each atom.
Fractional positions:
Gd: 0.0000 0.0000 0.0000  6 Ga 3.09
Sr: 0.5000 0.5000 0.5000  6 Ga 3.29
Ga: 0.2550 0.2550 0.2351  3 Gd 3.09, 3 Sr 3.29
Ga: 0.7450 0.7450 0.7649  3 Gd 3.09, 3 Sr 3.29

N(E_F), states/eV/f.u.: 3.24
Crystal system: trigonal
Energy, eV/atom: -5.69
Calculated formation energy, eV/atom: -0.24